(1)
Entry from the Alexandria database: a geometry-optimized KInCl structure (GGA-PBE).

Calculated values
The energy above the most stable polymorph in this dataset is 167.1 meV/atom. The density of states at the Fermi level comes out at 1.46 states/eV per cell.

a = 5.3859 Å, b = 5.3859 Å, c = 4.0029 Å
α = 90.00°, β = 90.00°, γ = 120.00°
Closest atoms and distances in Å follow each position.
Sites, in units of the cell vectors:
K 0.0000 0.0000 0.0000  6 In 3.70, 6 Cl 3.70, 2 K 4.00
In 0.3333 0.6667 0.5000  3 Cl 3.11
Cl 0.6667 0.3333 0.5000  3 In 3.11

=====

(2)
Entry from the Alexandria database: a geometry-optimized ScRe3 structure (GGA-PBE).

Calculated values
The energy above the most stable polymorph in this dataset is 80.7 meV/atom. The density of states at the Fermi level comes out at 10.15 states/eV per cell. The formation energy from the elements comes out at 5 meV/atom.

a = 8.8867 Å, b = 8.8867 Å, c = 2.7614 Å
α = 90.00°, β = 90.00°, γ = 120.00°
Closest atoms and distances in Å follow each position.
Sites, in units of the cell vectors:
Sc 0.0000 0.0000 0.0000  6 Re 2.73, 2 Sc 2.76
Sc 0.3333 0.6667 0.6667  6 Re 2.73, 2 Sc 2.76
Sc 0.6667 0.3333 0.3333  6 Re 2.73, 2 Sc 2.76
Re 0.0000 0.5000 0.0000  6 Re 2.73-2.76, 2 Sc 2.73
Re 0.1667 0.3333 0.3333  6 Re 2.73-2.76, 2 Sc 2.73
Re 0.1667 0.8333 0.3333  2 Sc 2.73, 6 Re 2.73-2.76
Re 0.3333 0.1667 0.6667  6 Re 2.73-2.76, 2 Sc 2.73
Re 0.5000 0.0000 0.0000  6 Re 2.73-2.76, 2 Sc 2.73
Re 0.5000 0.5000 0.0000  6 Re 2.73-2.76, 2 Sc 2.73
Re 0.6667 0.8333 0.3333  6 Re 2.73-2.76, 2 Sc 2.73
Re 0.8333 0.1667 0.6667  2 Sc 2.73, 6 Re 2.73-2.76
Re 0.8333 0.6667 0.6667  6 Re 2.73-2.76, 2 Sc 2.73

=====

(3)
Entry from the Alexandria database: a geometry-optimized BaAu2Cl8 structure (GGA-PBE).

Calculated values
The energy comes out at -33.1 eV/cell.

a = 8.2905 Å, b = 8.2905 Å, c = 8.2905 Å
α = 127.84°, β = 127.84°, γ = 76.88°
Closest atoms and distances in Å follow each position.
Sites, in units of the cell vectors:
Ba 0.0000 0.0000 0.0000  8 Cl 3.23
Au 0.2500 0.7500 0.5000  4 Cl 2.33
Au 0.7500 0.2500 0.5000  4 Cl 2.33
Cl 0.0426 0.5302 0.8223  1 Au 2.33
Cl 0.2203 0.0426 0.5124  1 Au 2.33
Cl 0.2921 0.4698 0.5124  1 Au 2.33
Cl 0.4698 0.9574 0.1777  1 Au 2.33
Cl 0.5302 0.7079 0.4876  1 Au 2.33
Cl 0.7079 0.2203 0.1777  1 Au 2.33
Cl 0.7797 0.2921 0.8223  1 Au 2.33
Cl 0.9574 0.7797 0.4876  1 Au 2.33

=====

(4)
Entry from the Alexandria database: a geometry-optimized Ac5Cd2Ge5 structure (GGA-PBE).

Calculated values
The density of states at the Fermi level comes out at 6.63 states/eV per cell. The formation energy from the elements comes out at -556 meV/atom.

a = 8.4535 Å, b = 8.4535 Å, c = 12.5584 Å
α = 128.09°, β = 128.09°, γ = 31.08°
Closest atoms and distances in Å follow each position.
Sites, in units of the cell vectors:
Ac 0.0000 0.0000 0.0000  4 Cd 3.39, 6 Ge 3.42-3.55
Ac 0.3231 0.3231 0.4198  7 Ge 3.28-3.62, 3 Cd 3.43-3.48, 1 Ac 3.63
Ac 0.3706 0.3706 0.1743  5 Ge 3.19-3.36, 1 Cd 3.43
Ac 0.6294 0.6294 0.8257  5 Ge 3.19-3.36, 1 Cd 3.43
Ac 0.6769 0.6769 0.5802  7 Ge 3.28-3.62, 3 Cd 3.43-3.48, 1 Ac 3.63
Cd 0.3824 0.3824 0.7396  3 Ge 2.73
Cd 0.6176 0.6176 0.2604  3 Ge 2.73
Ge 0.0000 0.0000 0.5000  2 Ge 2.96, 4 Ac 3.28
Ge 0.0684 0.0684 0.3313  2 Cd 2.73, 1 Ge 2.96
Ge 0.2990 0.2990 0.8709  1 Cd 2.73
Ge 0.7010 0.7010 0.1291  1 Cd 2.73
Ge 0.9316 0.9316 0.6687  2 Cd 2.73, 1 Ge 2.96

=====

Computed total magnetic moment, in the same sequence as the records: 0.0 0.0 0.0 0.0 μB/cell.
Computed ρ, in the same sequence as the records: 3.13 15.92 3.92 8.04 g cm⁻³.